[1]
First-principles (PBE) data for a geometry-optimized ScAg2Ir structure, as listed in Alexandria via LeMat-Bulk.

- DFT total energy (eV per atom) = -5.23
- space group = P4/mmm
- energy above the most stable polymorph in this dataset (meV/atom) = 293
- DFT formation energy (eV/f.u.) = -0.02

Unit cell a=3.5981 b=3.5981 c=5.4905 alpha=90.00 beta=90.00 gamma=90.00
Closest atoms and distances in Å follow each position.
Sites, in units of the cell vectors:
Sc 0.5000 0.5000 0.7500  2 Ir 2.75, 8 Ag 2.90
Ag 0.0000 0.0000 0.4961  2 Ag 2.70-2.79, 4 Ir 2.88, 4 Sc 2.90
Ag 0.0000 0.0000 0.0039  2 Ag 2.70-2.79, 4 Ir 2.88, 4 Sc 2.90
Ir 0.5000 0.5000 0.2500  2 Sc 2.75, 8 Ag 2.88


[2]
First-principles (PBE) data for a geometry-optimized ScAg2Ir structure, as listed in Alexandria via LeMat-Bulk.

- DFT total energy (eV per atom) = -4.96
- space group = R-3m
- energy above the most stable polymorph in this dataset (meV/atom) = 562
- DFT formation energy (eV/f.u.) = 1.05

Unit cell a=9.8844 b=9.8844 c=9.8844 alpha=16.75 beta=16.75 gamma=16.75
Closest atoms and distances in Å follow each position.
Sites, in units of the cell vectors:
Sc 0.7500 0.7500 0.7500  6 Sc 2.88, 6 Ag 3.00
Ag 0.5022 0.5022 0.5022  6 Ag 2.88, 3 Ir 2.90, 3 Sc 3.00
Ag 0.9978 0.9978 0.9978  6 Ag 2.88, 3 Ir 2.90, 3 Sc 3.00
Ir 0.2500 0.2500 0.2500  6 Ir 2.88, 6 Ag 2.90


[3]
First-principles (PBE) data for a geometry-optimized Sc4Ag2Ir structure, as listed in Alexandria via LeMat-Bulk.

- DFT total energy (eV per atom) = -6.06
- space group = R-3m
- DFT formation energy (eV/f.u.) = -2.52

Unit cell a=4.7191 b=4.7191 c=8.1029 alpha=73.07 beta=73.07 gamma=60.00
Closest atoms and distances in Å follow each position.
Sites, in units of the cell vectors:
Sc 0.8772 0.8772 0.3684  1 Ir 2.81, 4 Ag 2.88-2.93
Sc 0.1228 0.1228 0.6316  1 Ir 2.81, 4 Ag 2.88-2.93
Sc 0.3742 0.3742 0.8774  4 Ag 2.82-2.89, 3 Ir 2.88
Sc 0.6258 0.6258 0.1226  4 Ag 2.82-2.89, 3 Ir 2.88
Ag 0.7491 0.7491 0.7526  8 Sc 2.82-2.93
Ag 0.2509 0.2509 0.2474  8 Sc 2.82-2.93
Ir 0.0000 0.0000 0.0000  8 Sc 2.81-2.88


[4]
First-principles (PBE) data for a geometry-optimized ScAgIr2 structure, as listed in Alexandria via LeMat-Bulk.

- DFT total energy (eV per atom) = -6.92
- space group = Cm
- energy above the most stable polymorph in this dataset (meV/atom) = 122
- DFT formation energy (eV/f.u.) = -0.79

Unit cell a=4.9595 b=4.9595 c=4.8188 alpha=78.40 beta=78.40 gamma=34.66
Closest atoms and distances in Å follow each position.
Sites, in units of the cell vectors:
Ag 0.2547 0.2547 0.2579  3 Sc 2.75-2.90, 7 Ir 2.76-2.97, 2 Ag 2.95
Sc 0.4941 0.4941 0.4978  7 Ir 2.72-2.96, 3 Ag 2.75-2.90, 2 Sc 2.95
Ir 0.0079 0.0079 0.9649  5 Ir 2.67-2.95, 4 Sc 2.72-2.94, 3 Ag 2.92-2.97
Ir 0.7432 0.7432 0.7794  5 Ir 2.67-2.95, 4 Ag 2.76-2.90, 3 Sc 2.88-2.96


[5]
First-principles (PBE) data for a geometry-optimized ScAgIr2 structure, as listed in Alexandria via LeMat-Bulk.

- DFT total energy (eV per atom) = -6.92
- space group = I-4m2
- energy above the most stable polymorph in this dataset (meV/atom) = 128
- DFT formation energy (eV/f.u.) = -0.77

Unit cell a=4.9615 b=4.9615 c=4.9615 alpha=132.45 beta=132.45 gamma=69.52
Closest atoms and distances in Å follow each position.
Sites, in units of the cell vectors:
Sc 0.5000 0.5000 0.0000  8 Ir 2.83-2.86, 4 Ag 2.86
Ag 0.7500 0.2500 0.5000  8 Ir 2.83-2.86, 4 Sc 2.86
Ir 0.0000 0.0000 0.0000  4 Sc 2.83, 4 Ir 2.86, 4 Ag 2.86
Ir 0.2500 0.7500 0.5000  4 Ag 2.83, 4 Sc 2.86, 4 Ir 2.86


[6]
First-principles (PBE) data for a geometry-optimized Sc6Ag5Ir structure, as listed in Alexandria via LeMat-Bulk.

- DFT total energy (eV per atom) = -5.50
- space group = Cmmm
- DFT formation energy (eV/f.u.) = -4.94

Unit cell a=4.7743 b=6.8476 c=7.5942 alpha=90.00 beta=71.68 gamma=90.00
Closest atoms and distances in Å follow each position.
Sites, in units of the cell vectors:
Ag 0.0000 0.5000 0.0000  8 Sc 2.89-3.01
Ag 0.3328 0.5000 0.3345  8 Sc 2.97-3.07
Ag 0.6741 0.0000 0.6517  8 Sc 2.92-2.98, 2 Ag 3.24
Ag 0.6672 0.5000 0.6655  8 Sc 2.97-3.07
Ag 0.3259 0.0000 0.3483  8 Sc 2.92-2.98, 2 Ag 3.24
Sc 0.8415 0.2426 0.3170  1 Ir 2.83, 7 Ag 2.89-3.07
Sc 0.8415 0.7574 0.3170  1 Ir 2.83, 7 Ag 2.89-3.07
Sc 0.1585 0.2426 0.6830  1 Ir 2.83, 7 Ag 2.89-3.07
Sc 0.5000 0.2332 0.0000  2 Ir 2.87, 6 Ag 2.98-3.03, 1 Sc 3.19
Sc 0.5000 0.7668 0.0000  2 Ir 2.87, 6 Ag 2.98-3.03, 1 Sc 3.19
Sc 0.1585 0.7574 0.6830  1 Ir 2.83, 7 Ag 2.89-3.07
Ir 0.0000 0.0000 0.0000  8 Sc 2.83-2.87


[7]
First-principles (PBE) data for a geometry-optimized ScAgIr structure, as listed in Alexandria via LeMat-Bulk.

- DFT total energy (eV per atom) = -6.28
- space group = P3m1
- energy above the most stable polymorph in this dataset (meV/atom) = 92
- DFT formation energy (eV/f.u.) = -0.81

Unit cell a=4.5060 b=4.5060 c=2.9546 alpha=90.00 beta=90.00 gamma=120.00
Closest atoms and distances in Å follow each position.
Sites, in units of the cell vectors:
Ag 0.0000 0.0000 0.9896  3 Sc 2.78, 3 Ir 2.82, 2 Ag 2.95
Ir 0.6667 0.3333 0.3549  3 Sc 2.75, 3 Ag 2.82, 2 Ir 2.95
Sc 0.3333 0.6667 0.6554  3 Ir 2.75, 3 Ag 2.78, 2 Sc 2.95


[8]
First-principles (PBE) data for a geometry-optimized ScAgIr2 structure, as listed in Alexandria via LeMat-Bulk.

- DFT total energy (eV per atom) = -6.87
- space group = Imm2
- energy above the most stable polymorph in this dataset (meV/atom) = 177
- DFT formation energy (eV/f.u.) = -0.57

Unit cell a=5.5736 b=5.5736 c=5.5736 alpha=148.64 beta=131.10 gamma=59.25
Closest atoms and distances in Å follow each position.
Sites, in units of the cell vectors:
Ir 0.9848 0.9848 0.0000  2 Ir 2.61, 4 Sc 2.77, 2 Ag 2.86
Ir 0.7645 0.2645 0.5000  2 Ir 2.61, 4 Ag 2.77, 2 Sc 2.85
Ag 0.2362 0.7362 0.5000  6 Ir 2.77-2.86, 2 Ag 3.01, 2 Sc 3.09
Sc 0.5145 0.5145 0.0000  6 Ir 2.77-2.85, 2 Sc 3.01, 2 Ag 3.09


[9]
First-principles (PBE) data for a geometry-optimized ScAg2Ir structure, as listed in Alexandria via LeMat-Bulk.

- DFT total energy (eV per atom) = -5.30
- space group = R3m
- energy above the most stable polymorph in this dataset (meV/atom) = 225
- DFT formation energy (eV/f.u.) = -0.30

Unit cell a=9.1936 b=9.1936 c=9.1936 alpha=19.13 beta=19.13 gamma=19.13
Closest atoms and distances in Å follow each position.
Sites, in units of the cell vectors:
Sc 0.7572 0.7572 0.7572  3 Ir 2.59
Ag 0.2477 0.2477 0.2477  9 Ag 2.93-3.06, 3 Ir 2.94
Ag 0.0009 0.0009 0.0009  9 Ag 2.93-3.06, 3 Sc 3.00
Ir 0.4941 0.4941 0.4941  3 Sc 2.59


[10]
First-principles (PBE) data for a geometry-optimized ScAgIr2 structure, as listed in Alexandria via LeMat-Bulk.

- DFT total energy (eV per atom) = -6.86
- space group = Fm-3m
- energy above the most stable polymorph in this dataset (meV/atom) = 190
- DFT formation energy (eV/f.u.) = -0.52

Unit cell a=4.5354 b=4.5354 c=4.5354 alpha=60.00 beta=60.00 gamma=60.00
Closest atoms and distances in Å follow each position.
Sites, in units of the cell vectors:
Ir 0.2500 0.2500 0.2500  4 Sc 2.78, 4 Ag 2.78
Ir 0.7500 0.7500 0.7500  4 Sc 2.78, 4 Ag 2.78
Sc 0.0000 0.0000 0.0000  8 Ir 2.78
Ag 0.5000 0.5000 0.5000  8 Ir 2.78


[11]
First-principles (PBE) data for a geometry-optimized ScAgIr2 structure, as listed in Alexandria via LeMat-Bulk.

- DFT total energy (eV per atom) = -6.91
- space group = Cmmm
- energy above the most stable polymorph in this dataset (meV/atom) = 139
- DFT formation energy (eV/f.u.) = -0.73

Unit cell a=4.6989 b=4.6989 c=3.0482 alpha=90.00 beta=90.00 gamma=104.24
Closest atoms and distances in Å follow each position.
Sites, in units of the cell vectors:
Ir 0.0000 0.0000 0.0000  4 Sc 2.80, 4 Ag 2.80, 4 Ir 2.89-3.05
Ir 0.5000 0.5000 0.0000  4 Ag 2.80, 4 Sc 2.80, 4 Ir 2.89-3.05
Sc 0.5000 0.0000 0.5000  8 Ir 2.80, 2 Ag 2.89, 2 Sc 3.05
Ag 0.0000 0.5000 0.5000  8 Ir 2.80, 2 Sc 2.89, 2 Ag 3.05


[12]
First-principles (PBE) data for a geometry-optimized ScAgIr2 structure, as listed in Alexandria via LeMat-Bulk.

- DFT total energy (eV per atom) = -6.84
- space group = Cmmm
- energy above the most stable polymorph in this dataset (meV/atom) = 203
- DFT formation energy (eV/f.u.) = -0.47

Unit cell a=2.8232 b=2.8232 c=9.1124 alpha=90.00 beta=90.00 gamma=114.34
Closest atoms and distances in Å follow each position.
Sites, in units of the cell vectors:
Ir 0.0000 0.0000 0.4825  2 Sc 2.61, 4 Ir 2.82, 2 Ag 2.88
Ir 0.0000 0.0000 0.0175  2 Sc 2.61, 4 Ir 2.82, 2 Ag 2.88
Sc 0.5000 0.5000 0.2500  4 Ir 2.61, 4 Sc 2.82
Ag 0.5000 0.5000 0.7500  6 Ag 2.82-3.06, 4 Ir 2.88


[13]
First-principles (PBE) data for a geometry-optimized Sc3Ag2Ir structure, as listed in Alexandria via LeMat-Bulk.

- DFT total energy (eV per atom) = -6.13
- space group = Cmmm
- DFT formation energy (eV/f.u.) = -3.25

Unit cell a=4.7040 b=7.4064 c=6.9301 alpha=90.00 beta=90.00 gamma=71.48
Closest atoms and distances in Å follow each position.
Sites, in units of the cell vectors:
Sc 0.1718 0.6561 0.2303  3 Ir 2.80-2.84, 5 Ag 2.90-3.05
Sc 0.4997 0.0000 0.2355  2 Ir 2.83, 6 Ag 2.86-2.98
Sc 0.8282 0.3439 0.7697  3 Ir 2.80-2.84, 5 Ag 2.90-3.05
Sc 0.8279 0.3439 0.2303  3 Ir 2.80-2.84, 5 Ag 2.90-3.05
Sc 0.5003 0.0000 0.7645  2 Ir 2.83, 6 Ag 2.86-2.98
Sc 0.1721 0.6561 0.7697  3 Ir 2.80-2.84, 5 Ag 2.90-3.05
Ag 0.3338 0.3324 0.5000  8 Sc 2.94-3.01
Ag 0.0000 0.0000 0.0000  8 Sc 2.86-2.90
Ag 0.0000 0.0000 0.5000  8 Sc 2.98-3.05, 4 Ag 3.31
Ag 0.6662 0.6676 0.5000  8 Sc 2.94-3.01
Ir 0.3353 0.3293 0.0000  8 Sc 2.80-2.84
Ir 0.6647 0.6707 0.0000  8 Sc 2.80-2.84


[14]
First-principles (PBE) data for a geometry-optimized Sc5Ag4Ir structure, as listed in Alexandria via LeMat-Bulk.

- DFT total energy (eV per atom) = -5.62
- space group = P4/mmm
- DFT formation energy (eV/f.u.) = -4.23

Unit cell a=3.3765 b=3.3765 c=17.1408 alpha=90.00 beta=90.00 gamma=90.00
Closest atoms and distances in Å follow each position.
Sites, in units of the cell vectors:
Ag 0.0000 0.0000 0.8062  8 Sc 2.95-2.99
Ag 0.0000 0.0000 0.1938  8 Sc 2.95-2.99
Ag 0.0000 0.0000 0.6016  8 Sc 2.96-2.98
Ag 0.0000 0.0000 0.3984  8 Sc 2.96-2.98
Sc 0.5000 0.5000 0.2946  8 Ag 2.95-2.98
Sc 0.5000 0.5000 0.5000  8 Ag 2.96
Sc 0.5000 0.5000 0.0885  4 Ir 2.83, 4 Ag 2.99, 1 Sc 3.03
Sc 0.5000 0.5000 0.7054  8 Ag 2.95-2.98
Sc 0.5000 0.5000 0.9115  4 Ir 2.83, 4 Ag 2.99, 1 Sc 3.03
Ir 0.0000 0.0000 0.0000  8 Sc 2.83